An optimized crystal structure of VSbF2. Source: Alexandria via LeMat-Bulk, functional PBE+U. Values from VASP.

Calculated values
The total DFT energy (no corrections) is -5.074 eV per atom. The value obtained for the energy above the most stable polymorph in this dataset is 179 kJ/mol of formula units.

Quantum ESPRESSO input file:
```
&SYSTEM
  ibrav = 0, nat = 8, ntyp = 3
/
ATOMIC_SPECIES
V 50.94 V.upf
Sb 121.76 Sb.upf
F 19.00 F.upf
CELL_PARAMETERS angstrom
-3.0124 3.0124 4.9297
3.0124 -3.0124 4.9297
3.0124 3.0124 -4.9297
ATOMIC_POSITIONS crystal
V 0.3750 0.6250 0.7500
V 0.6250 0.3750 0.2500
Sb 0.1250 0.8750 0.2500
Sb 0.8750 0.1250 0.7500
F 0.0000 0.5000 0.5000
F 0.5000 0.0000 0.0000
F 0.5000 0.5000 0.0000
F 0.5000 0.5000 0.5000
```